Computed, not measured: crystalline Ti2CoTcC at its relaxed geometry at the GGA-PBE level of DFT.

Lattice parameters (Å, degrees): 4.1585 4.1585 3.9136 90.00 90.00 90.00
With the nearest neighbours (Å) after each atom.
Atoms (fractional coordinates):
Ti  0.0000  0.5000  0.0000  2 C 2.08
Ti  0.5000  0.0000  0.0000  2 C 2.08
Co  0.0000  0.0000  0.5000  8 Ti 2.86, 4 Tc 2.94
Tc  0.5000  0.5000  0.5000  2 C 1.96
C  0.5000  0.5000  0.0000  2 Tc 1.96, 4 Ti 2.08

=====

Computed, not measured: crystalline Sr2AsN at its relaxed geometry at the GGA-PBE level of DFT.

Lattice parameters (Å, degrees): 6.4367 6.4367 6.4367 107.72 107.72 113.02
With the nearest neighbours (Å) after each atom.
Atoms (fractional coordinates):
Sr  0.0539  0.6250  0.9289  2 N 2.50
Sr  0.3750  0.3039  0.4289  2 N 2.50
Sr  0.6961  0.1250  0.0711  2 N 2.50
Sr  0.8750  0.9461  0.5711  2 N 2.50
As  0.2500  0.7500  0.5000  8 Sr 3.21-3.54, 2 N 3.55
As  0.5000  0.5000  0.0000  8 Sr 3.21-3.54, 2 N 3.55
N  0.0000  0.0000  0.0000  4 Sr 2.50
N  0.7500  0.2500  0.5000  4 Sr 2.50

Results
E_form (uncorrected) in eV per formula unit: -1.3
ΔE to the lowest computed polymorph in kJ/mol of atoms: 0.00

=====

Computed, not measured: crystalline AgRu3O12 at its relaxed geometry at the GGA-PBE level of DFT.

Lattice parameters (Å, degrees): 11.3964 11.3964 11.3964 46.64 46.64 46.64
With the nearest neighbours (Å) after each atom.
Atoms (fractional coordinates):
Ag  0.0000  0.0000  0.0000  6 O 2.31-2.34
Ag  0.5000  0.5000  0.5000  6 O 2.31-2.34
Ru  0.1144  0.4013  0.7277  4 O 1.72-1.75
Ru  0.2277  0.9013  0.6144  4 O 1.72-1.75
Ru  0.4013  0.7277  0.1144  4 O 1.72-1.75
Ru  0.6144  0.2277  0.9013  4 O 1.72-1.75
Ru  0.7277  0.1144  0.4013  4 O 1.72-1.75
Ru  0.9013  0.6144  0.2277  4 O 1.72-1.75
O  0.0066  0.4201  0.3644  1 Ru 1.72
O  0.0214  0.0220  0.6155  1 Ru 1.72
O  0.0220  0.6155  0.0214  1 Ru 1.72
O  0.1155  0.5220  0.5214  1 Ru 1.72
O  0.1360  0.1916  0.8146  1 Ru 1.74
O  0.1916  0.8146  0.1360  1 Ru 1.74
O  0.2100  0.8816  0.7916  1 Ru 1.75
O  0.2916  0.3816  0.7100  1 Ru 1.75
O  0.3146  0.6916  0.6360  1 Ru 1.74
O  0.3644  0.0066  0.4201  1 Ru 1.72
O  0.3816  0.7100  0.2916  1 Ru 1.75
O  0.4201  0.3644  0.0066  1 Ru 1.72
O  0.5066  0.8644  0.9201  1 Ru 1.72
O  0.5214  0.1155  0.5220  1 Ru 1.72
O  0.5220  0.5214  0.1155  1 Ru 1.72
O  0.6155  0.0214  0.0220  1 Ru 1.72
O  0.6360  0.3146  0.6916  1 Ru 1.74
O  0.6916  0.6360  0.3146  1 Ru 1.74
O  0.7100  0.2916  0.3816  1 Ru 1.75
O  0.7916  0.2100  0.8816  1 Ru 1.75
O  0.8146  0.1360  0.1916  1 Ru 1.74
O  0.8644  0.9201  0.5066  1 Ru 1.72
O  0.8816  0.7916  0.2100  1 Ru 1.75
O  0.9201  0.5066  0.8644  1 Ru 1.72

Results
E_form (uncorrected) in eV per formula unit: -9.5

=====

Computed, not measured: crystalline AcSb2Rh4 at its relaxed geometry at the GGA-PBE level of DFT.

Lattice parameters (Å, degrees): 8.2015 8.2015 4.1271 90.00 90.00 90.00
With the nearest neighbours (Å) after each atom.
Atoms (fractional coordinates):
Ac  0.0000  0.0000  0.0000  6 Sb 3.19-3.32
Ac  0.5000  0.5000  0.5000  6 Sb 3.19-3.32
Sb  0.2246  0.2246  0.5000  6 Rh 2.67-2.71
Sb  0.2754  0.7246  0.0000  6 Rh 2.67-2.71
Sb  0.7246  0.2754  0.0000  6 Rh 2.67-2.71
Sb  0.7754  0.7754  0.5000  6 Rh 2.67-2.71
Rh  0.0815  0.6508  0.5000  3 Sb 2.67-2.71, 5 Rh 2.81-2.87
Rh  0.1508  0.4185  0.0000  3 Sb 2.67-2.71, 5 Rh 2.81-2.87
Rh  0.3492  0.9185  0.5000  3 Sb 2.67-2.71, 5 Rh 2.81-2.87
Rh  0.4185  0.1508  0.0000  3 Sb 2.67-2.71, 5 Rh 2.81-2.87
Rh  0.5815  0.8492  0.0000  3 Sb 2.67-2.71, 5 Rh 2.81-2.87
Rh  0.6508  0.0815  0.5000  3 Sb 2.67-2.71, 5 Rh 2.81-2.87
Rh  0.8492  0.5815  0.0000  3 Sb 2.67-2.71, 5 Rh 2.81-2.87
Rh  0.9185  0.3492  0.5000  3 Sb 2.67-2.71, 5 Rh 2.81-2.87

Results
E_form (uncorrected) in eV per formula unit: -3.9

=====

Computed, not measured: crystalline SrCdH3 at its relaxed geometry at the GGA-PBE level of DFT.

Lattice parameters (Å, degrees): 6.8422 6.2823 6.8606 90.00 90.00 90.00
With the nearest neighbours (Å) after each atom.
Atoms (fractional coordinates):
Sr  0.1361  0.2500  0.1357  8 H 2.41-2.58
Sr  0.3639  0.7500  0.6357  8 H 2.41-2.58
Sr  0.6361  0.2500  0.3643  8 H 2.41-2.58
Sr  0.8639  0.7500  0.8643  8 H 2.41-2.58
Cd  0.1532  0.2500  0.6542  3 H 1.83-1.94
Cd  0.3468  0.7500  0.1542  3 H 1.83-1.94
Cd  0.6532  0.2500  0.8458  3 H 1.83-1.94
Cd  0.8468  0.7500  0.3458  3 H 1.83-1.94
H  0.0203  0.7500  0.5494  1 Cd 1.83
H  0.1494  0.0100  0.8333  1 Cd 1.94
H  0.1494  0.4900  0.8333  1 Cd 1.94
H  0.3506  0.5100  0.3333  1 Cd 1.94
H  0.3506  0.9900  0.3333  1 Cd 1.94
H  0.4797  0.2500  0.0494  1 Cd 1.83
H  0.5203  0.7500  0.9506  1 Cd 1.83
H  0.6494  0.0100  0.6667  1 Cd 1.94
H  0.6494  0.4900  0.6667  1 Cd 1.94
H  0.8506  0.5100  0.1667  1 Cd 1.94
H  0.8506  0.9900  0.1667  1 Cd 1.94
H  0.9797  0.2500  0.4506  1 Cd 1.83

Results
ΔE to the lowest computed polymorph in kJ/mol of atoms: 0.00

=====

Computed, not measured: crystalline KNpS2O8 at its relaxed geometry at the GGA-PBE level of DFT.

Lattice parameters (Å, degrees): 5.5558 5.5558 8.0470 90.00 90.00 120.00
With the nearest neighbours (Å) after each atom.
Atoms (fractional coordinates):
K  0.0000  0.0000  0.0000  12 O 3.10-3.25
Np  0.0000  0.0000  0.5000  6 O 2.34
S  0.3333  0.6667  0.2472  4 O 1.45-1.50
S  0.6667  0.3333  0.7528  4 O 1.45-1.50
O  0.1875  0.3749  0.3140  1 S 1.50
O  0.1875  0.8125  0.3140  1 S 1.50
O  0.3333  0.6667  0.0668  1 S 1.45
O  0.3749  0.1875  0.6860  1 S 1.50
O  0.6251  0.8125  0.3140  1 S 1.50
O  0.6667  0.3333  0.9332  1 S 1.45
O  0.8125  0.1875  0.6860  1 S 1.50
O  0.8125  0.6251  0.6860  1 S 1.50

Results
E_form (uncorrected) in eV per formula unit: -22.2

=====

Computed, not measured: crystalline Ca2TaAu at its relaxed geometry at the GGA-PBE level of DFT.

Lattice parameters (Å, degrees): 3.2235 3.2235 9.1632 90.00 90.00 90.00
With the nearest neighbours (Å) after each atom.
Atoms (fractional coordinates):
Ca  0.0000  0.0000  0.2349  4 Au 3.13, 4 Ca 3.22, 4 Ta 3.33
Ca  0.0000  0.0000  0.7651  4 Au 3.13, 4 Ca 3.22, 4 Ta 3.33
Ta  0.5000  0.5000  0.5000  4 Ta 3.22, 8 Ca 3.33
Au  0.5000  0.5000  0.0000  8 Ca 3.13, 4 Au 3.22

Results
ΔE to the lowest computed polymorph in kJ/mol of atoms: 0.00

=====

Computed, not measured: crystalline NdZrAg2 at its relaxed geometry at the GGA-PBE level of DFT.

Lattice parameters (Å, degrees): 3.5507 3.5507 7.3967 90.00 90.00 90.00
With the nearest neighbours (Å) after each atom.
Atoms (fractional coordinates):
Nd  0.0000  0.0000  0.0000  8 Ag 3.28, 4 Nd 3.55
Zr  0.0000  0.0000  0.5000  8 Ag 2.97
Ag  0.5000  0.5000  0.2843  4 Zr 2.97, 1 Ag 3.19, 4 Nd 3.28
Ag  0.5000  0.5000  0.7157  4 Zr 2.97, 1 Ag 3.19, 4 Nd 3.28

Results
ΔE to the lowest computed polymorph in kJ/mol of atoms: 0.00

=====

Computed, not measured: crystalline InGaSe3 at its relaxed geometry at the GGA-PBE level of DFT.

Lattice parameters (Å, degrees): 6.8715 3.9224 13.3394 90.00 104.57 90.00
With the nearest neighbours (Å) after each atom.
Atoms (fractional coordinates):
In  0.1097  0.2500  0.2600  5 Se 2.69-2.77
In  0.8903  0.7500  0.7400  5 Se 2.69-2.77
Ga  0.3145  0.2500  0.8004  4 Se 2.42-2.50
Ga  0.6855  0.7500  0.1996  4 Se 2.42-2.50
Se  0.0427  0.2500  0.6395  1 Ga 2.47, 2 In 2.73
Se  0.2375  0.7500  0.8997  2 Ga 2.50, 1 In 2.77
Se  0.3753  0.7500  0.2540  1 Ga 2.42, 2 In 2.69
Se  0.6247  0.2500  0.7460  1 Ga 2.42, 2 In 2.69
Se  0.7625  0.2500  0.1003  2 Ga 2.50, 1 In 2.77
Se  0.9573  0.7500  0.3605  1 Ga 2.47, 2 In 2.73

Results
E_form (uncorrected) in eV per formula unit: -2.5

=====

Computed, not measured: crystalline NdZnInHg at its relaxed geometry at the GGA-PBE level of DFT.

Lattice parameters (Å, degrees): 5.1293 5.1293 5.1293 60.00 60.00 60.00
With the nearest neighbours (Å) after each atom.
Atoms (fractional coordinates):
Nd  0.0000  0.0000  0.0000  4 Hg 3.14, 4 Zn 3.14
Zn  0.2500  0.2500  0.2500  4 In 3.14, 4 Nd 3.14
In  0.5000  0.5000  0.5000  4 Hg 3.14, 4 Zn 3.14
Hg  0.7500  0.7500  0.7500  4 In 3.14, 4 Nd 3.14

=====

Computed, not measured: crystalline PuTlBi at its relaxed geometry at the GGA-PBE level of DFT.

Lattice parameters (Å, degrees): 8.9104 8.9104 3.4996 90.00 90.00 144.30
With the nearest neighbours (Å) after each atom.
Atoms (fractional coordinates):
Pu  0.0439  0.9561  0.7500  2 Pu 2.30
Pu  0.9561  0.0439  0.2500  2 Pu 2.30
Tl  0.2182  0.7818  0.2500  6 Tl 3.42-3.50, 2 Pu 3.44, 4 Bi 3.50-3.71
Tl  0.7818  0.2182  0.7500  6 Tl 3.42-3.50, 2 Pu 3.44, 4 Bi 3.50-3.71
Bi  0.4110  0.5890  0.7500  6 Pu 3.33-3.54, 4 Bi 3.49-3.50, 4 Tl 3.50-3.71
Bi  0.5890  0.4110  0.2500  6 Pu 3.33-3.54, 4 Bi 3.49-3.50, 4 Tl 3.50-3.71

Results
ΔE to the lowest computed polymorph in kJ/mol of atoms: 16.09

=====

Computed, not measured: crystalline Ho4Cd3Co at its relaxed geometry at the GGA-PBE level of DFT.

Lattice parameters (Å, degrees): 3.4204 3.4204 16.3404 90.00 90.00 90.00
With the nearest neighbours (Å) after each atom.
Atoms (fractional coordinates):
Ho  0.0000  0.0000  0.0987  4 Co 2.91, 1 Ho 3.23
Ho  0.0000  0.0000  0.3659  8 Cd 3.23-3.26, 4 Ho 3.42
Ho  0.0000  0.0000  0.6341  8 Cd 3.23-3.26, 4 Ho 3.42
Ho  0.0000  0.0000  0.9013  4 Co 2.91, 1 Ho 3.23
Cd  0.5000  0.5000  0.2349  8 Ho 3.23-3.29, 4 Cd 3.42
Cd  0.5000  0.5000  0.5000  8 Ho 3.26, 4 Cd 3.42
Cd  0.5000  0.5000  0.7651  8 Ho 3.23-3.29, 4 Cd 3.42
Co  0.5000  0.5000  0.0000  8 Ho 2.91

=====

Computed, not measured: crystalline PaBeSi at its relaxed geometry at the GGA-PBE level of DFT.

Lattice parameters (Å, degrees): 3.8070 3.8070 8.2121 90.00 90.00 120.00
With the nearest neighbours (Å) after each atom.
Atoms (fractional coordinates):
Pa  0.0000  0.0000  0.0000  6 Be 3.01, 6 Si 3.01
Pa  0.0000  0.0000  0.5000  6 Be 3.01, 6 Si 3.01
Be  0.3333  0.6667  0.2500  3 Si 2.20
Be  0.6667  0.3333  0.7500  3 Si 2.20
Si  0.3333  0.6667  0.7500  3 Be 2.20
Si  0.6667  0.3333  0.2500  3 Be 2.20

Results
E_form (uncorrected) in eV per formula unit: -1.4
ΔE to the lowest computed polymorph in kJ/mol of atoms: 0.00

=====

Computed, not measured: crystalline ThAs2Pd7Pb2 at its relaxed geometry at the GGA-PBE level of DFT.

Lattice parameters (Å, degrees): 4.2327 4.2327 13.5574 94.54 94.54 88.14
With the nearest neighbours (Å) after each atom.
Atoms (fractional coordinates):
Th  0.0000  0.0000  0.0000  12 Pd 2.94-3.04
As  0.4327  0.4327  0.7396  5 Pd 2.47-2.56
As  0.5673  0.5673  0.2604  5 Pd 2.47-2.56
Pd  0.0398  0.5372  0.1550  2 As 2.54-2.56
Pd  0.3327  0.3327  0.5577  1 As 2.47, 1 Pd 2.70
Pd  0.4628  0.9602  0.8450  2 As 2.54-2.56
Pd  0.5000  0.5000  0.0000  4 Th 2.94-3.04, 8 Pd 2.97-2.98
Pd  0.5372  0.0398  0.1550  2 As 2.54-2.56
Pd  0.6673  0.6673  0.4423  1 As 2.47, 1 Pd 2.70
Pd  0.9602  0.4628  0.8450  2 As 2.54-2.56
Pb  0.0983  0.0983  0.3661  4 Pd 2.82-3.13
Pb  0.9017  0.9017  0.6339  4 Pd 2.82-3.13

=====

Computed, not measured: crystalline Cs4NaTl5 at its relaxed geometry at the GGA-PBE level of DFT.

Lattice parameters (Å, degrees): 8.9291 8.9291 8.9291 101.05 101.05 128.07
With the nearest neighbours (Å) after each atom.
Atoms (fractional coordinates):
Cs  0.0000  0.3047  0.3047  3 Tl 3.76-4.14, 1 Na 3.84
Cs  0.0000  0.6953  0.6953  3 Tl 3.76-4.14, 1 Na 3.84
Cs  0.3047  0.0000  0.3047  3 Tl 3.76-4.14, 1 Na 3.84
Cs  0.6953  0.0000  0.6953  3 Tl 3.76-4.14, 1 Na 3.84
Na  0.2118  0.2118  0.0000  5 Tl 3.13-3.26
Tl  0.3752  0.3752  0.7209  3 Tl 3.17-3.23, 1 Na 3.26
Tl  0.3752  0.6543  0.0000  3 Tl 3.17-3.23, 1 Na 3.26
Tl  0.6543  0.3752  0.0000  3 Tl 3.17-3.23, 1 Na 3.26
Tl  0.6543  0.6543  0.2791  3 Tl 3.17-3.23, 1 Na 3.26
Tl  0.8119  0.8119  0.0000  1 Na 3.13, 4 Tl 3.23

=====

Number 1: theoretical density 6.49 g/cm³, calculated total energy -8.693 eV per atom. Number 2: theoretical density 4.29 g/cm³, calculated total energy -4.407 eV per atom. Number 3: theoretical density 2.80 g/cm³, calculated total energy -6.232 eV per atom. Number 4: theoretical density 10.55 g/cm³, calculated total energy -6.518 eV per atom. Number 5: theoretical density 4.57 g/cm³, calculated total energy -2.725 eV per atom. Number 6: theoretical density 3.61 g/cm³, calculated total energy -7.011 eV per atom. Number 7: theoretical density 7.99 g/cm³, calculated total energy -4.657 eV per atom. Number 8: theoretical density 8.03 g/cm³, calculated total energy -4.834 eV per atom. Number 9: theoretical density 4.02 g/cm³, calculated total energy -3.741 eV per atom. Number 10: theoretical density 9.14 g/cm³, calculated total energy -2.601 eV per atom. Number 11: theoretical density 13.46 g/cm³, calculated total energy -6.772 eV per atom. Number 12: theoretical density 9.17 g/cm³, calculated total energy -3.801 eV per atom. Number 13: theoretical density 8.64 g/cm³, calculated total energy -6.698 eV per atom. Number 14: theoretical density 10.61 g/cm³, calculated total energy -5.486 eV per atom. Number 15: theoretical density 5.20 g/cm³, calculated total energy -1.718 eV per atom.